A relaxed ZrIrI3 crystal. Source: Alexandria, functional PBE.

Properties
energy above the most stable polymorph in this dataset: 0.1509 eV/atom
uncorrected formation energy: 0.81 eV/atom
ρ: 5.95 Mg/m³
SG: Pm-3m, No. 221

Geometry as extended XYZ:
```
5
Lattice="5.702 0.000 0.000 0.000 5.702 0.000 0.000 0.000 5.702" Properties=species:S:1:pos:R:3 pbc="T T T"
Zr 0.000 0.000 0.000
Ir 2.851 2.851 2.851
I 0.000 0.000 2.851
I 0.000 2.851 0.000
I 2.851 0.000 0.000
```